[1]
## TeIrOs2 (SCAN)

Data for TeIrOs2 at its PBEsol-relaxed geometry.

Summary:
The value obtained for the density of states at the Fermi level is 3.355 states/eV/f.u. The total magnetization is 0.00 μB per cell. The raw formation energy is 0.77 eV/atom.

a = 2.8574 Å, b = 3.7427 Å, c = 5.9617 Å
α = 90.00°, β = 90.00°, γ = 90.00°
Closest atoms and distances in Å follow each position.
Space group Pmmm (No. 47)
Symmetry-distinct sites (fractional):
1 Te 0.0000 0.0000 0.0000 (multiplicity 1)  2 Te 2.86, 8 Os 2.89, 2 Ir 2.98
2 Ir 0.0000 0.0000 0.5000 (multiplicity 1)  8 Os 2.70, 2 Ir 2.86, 2 Te 2.98
3 Os 0.5000 0.5000 0.2798 (multiplicity 2)  3 Os 2.63-2.86, 4 Ir 2.70, 4 Te 2.89

[2]
## TeIr2Os (SCAN)

Data for TeIr2Os at its PBEsol-relaxed geometry.

Summary:
The value obtained for the density of states at the Fermi level is 2.293 states/eV/f.u. The total magnetization is 0.00 μB per cell. The raw formation energy is 0.67 eV/atom.

a = 3.9882 Å, b = 3.9882 Å, c = 7.8785 Å
α = 90.00°, β = 90.00°, γ = 90.00°
Closest atoms and distances in Å follow each position.
Space group I4/mmm (No. 139)
Symmetry-distinct sites (fractional):
1 Te 0.0000 0.0000 0.0000 (multiplicity 2)  8 Ir 2.80, 4 Os 2.82
2 Ir 0.0000 0.5000 0.2500 (multiplicity 4)  4 Os 2.80, 4 Te 2.80, 4 Ir 2.82
3 Os 0.0000 0.0000 0.5000 (multiplicity 2)  8 Ir 2.80, 4 Te 2.82

[3]
## TeIr2Os (SCAN)

Data for TeIr2Os at its PBEsol-relaxed geometry.

Summary:
The value obtained for the density of states at the Fermi level is 2.863 states/eV/f.u. The total magnetization is 1.43 μB per cell. The raw formation energy is 0.75 eV/atom.

a = 2.8331 Å, b = 4.7491 Å, c = 9.4471 Å
α = 90.00°, β = 90.00°, γ = 90.00°
Closest atoms and distances in Å follow each position.
Space group Immm (No. 71)
Symmetry-distinct sites (fractional):
1 Te 0.0000 0.0000 0.0000 (multiplicity 2)  4 Os 2.76, 4 Ir 2.79, 2 Te 2.83
2 Ir 0.0000 0.5000 0.2461 (multiplicity 4)  2 Os 2.72, 6 Ir 2.77-2.83, 2 Te 2.79
3 Os 0.0000 0.0000 0.5000 (multiplicity 2)  4 Ir 2.72, 4 Te 2.76, 2 Os 2.83

[4]
## TeIrOs2 (SCAN)

Data for TeIrOs2 at its PBEsol-relaxed geometry.

Summary:
The value obtained for the density of states at the Fermi level is 3.736 states/eV/f.u. The total magnetization is 0.00 μB per cell. The raw formation energy is 0.96 eV/atom.

a = 5.3450 Å, b = 9.7645 Å, c = 2.8895 Å
α = 90.00°, β = 121.52°, γ = 90.00°
Closest atoms and distances in Å follow each position.
Space group C2/m (No. 12)
Symmetry-distinct sites (fractional):
1 Te 0.0000 0.0000 0.0000 (multiplicity 2)  4 Ir 2.67-2.72, 4 Os 2.80, 2 Te 2.89
2 Ir 0.0000 0.5000 0.0000 (multiplicity 2)  4 Te 2.67-2.72, 4 Os 2.80, 2 Ir 2.89
3 Os 0.2500 0.2500 0.5000 (multiplicity 4)  6 Os 2.67-2.89, 2 Ir 2.80, 2 Te 2.80

[5]
## TeIr2Os (SCAN)

Data for TeIr2Os at its PBEsol-relaxed geometry.

Summary:
The value obtained for the density of states at the Fermi level is 3.485 states/eV/f.u. The total magnetization is 0.00 μB per cell. The raw formation energy is 0.68 eV/atom.

a = 2.8027 Å, b = 4.5354 Å, c = 10.5527 Å
α = 90.00°, β = 90.00°, γ = 90.00°
Closest atoms and distances in Å follow each position.
Space group Imm2 (No. 44)
Symmetry-distinct sites (fractional):
1 Te 0.0000 0.0000 0.0000 (multiplicity 2)  6 Ir 2.75-2.93, 2 Te 2.80, 2 Os 2.82
2 Ir 0.0000 0.0000 0.5626 (multiplicity 2)  2 Os 2.58, 4 Te 2.75, 4 Ir 2.80-2.88
3 Ir 0.0000 0.5000 0.8240 (multiplicity 2)  4 Os 2.73, 4 Ir 2.80-2.88, 2 Te 2.93
4 Os 0.0000 0.5000 0.2677 (multiplicity 2)  6 Ir 2.58-2.73, 2 Os 2.80, 2 Te 2.82

[6]
## TlIrOs2 (SCAN)

Data for TlIrOs2 at its PBEsol-relaxed geometry.

Summary:
The formation energy comes out at 3.32 eV per formula unit. The value obtained for the density of states at the Fermi level is 2.615 states/eV/f.u. The total magnetization is 0.00 μB per cell.

a = 2.7720 Å, b = 4.3175 Å, c = 11.3994 Å
α = 90.00°, β = 90.00°, γ = 90.00°
Closest atoms and distances in Å follow each position.
Space group Imm2 (No. 44)
Symmetry-distinct sites (fractional):
1 Tl 0.0000 0.0000 0.0000 (multiplicity 2)  6 Os 2.73-3.03, 2 Tl 2.77, 2 Ir 2.90
2 Ir 0.0000 0.5000 0.8298 (multiplicity 2)  4 Os 2.67, 2 Ir 2.77, 2 Tl 2.90
3 Os 0.0000 0.0000 0.5820 (multiplicity 2)  4 Os 2.49-2.77, 4 Tl 2.73
4 Os 0.0000 0.5000 0.2636 (multiplicity 2)  4 Os 2.49-2.77, 4 Ir 2.67

[7]
## TlIrOs2 (SCAN)

Data for TlIrOs2 at its PBEsol-relaxed geometry.

Summary:
The formation energy comes out at 4.17 eV per formula unit. The value obtained for the density of states at the Fermi level is 4.182 states/eV/f.u. The total magnetization is 2.44 μB per cell.

a = 3.9159 Å, b = 3.9159 Å, c = 4.0796 Å
α = 90.00°, β = 90.00°, γ = 90.00°
Closest atoms and distances in Å follow each position.
Space group P4/mmm (No. 123)
Symmetry-distinct sites (fractional):
1 Tl 0.0000 0.0000 0.0000 (multiplicity 1)  4 Ir 2.77, 8 Os 2.83
2 Ir 0.5000 0.5000 0.0000 (multiplicity 1)  4 Tl 2.77, 8 Os 2.83
3 Os 0.0000 0.5000 0.5000 (multiplicity 2)  4 Os 2.77, 4 Tl 2.83, 4 Ir 2.83

[8]
## TlIrOs2 (SCAN)

Data for TlIrOs2 at its PBEsol-relaxed geometry.

Summary:
The formation energy comes out at 4.41 eV per formula unit. The value obtained for the density of states at the Fermi level is 2.998 states/eV/f.u. The total magnetization is 10.08 μB per cell.

a = 6.3320 Å, b = 6.3320 Å, c = 6.3320 Å
α = 90.00°, β = 90.00°, γ = 90.00°
Closest atoms and distances in Å follow each position.
Space group F-43m (No. 216)
Symmetry-distinct sites (fractional):
1 Tl 0.0000 0.0000 0.0000 (multiplicity 4)  4 Ir 2.74, 4 Os 2.74
2 Ir 0.2500 0.2500 0.7500 (multiplicity 4)  4 Tl 2.74, 4 Os 2.74
3 Os 0.0000 0.0000 0.5000 (multiplicity 4)  4 Os 2.74, 4 Ir 2.74
4 Os 0.2500 0.2500 0.2500 (multiplicity 4)  4 Tl 2.74, 4 Os 2.74

[9]
## Ir2OsW (SCAN)

Data for Ir2OsW at its PBEsol-relaxed geometry.

Summary:
The formation energy comes out at -0.07 eV per formula unit. The value obtained for the density of states at the Fermi level is 2.954 states/eV/f.u. The total magnetization is 0.00 μB per cell.

a = 2.7255 Å, b = 2.7255 Å, c = 26.8235 Å
α = 90.00°, β = 90.00°, γ = 120.00°
Closest atoms and distances in Å follow each position.
Space group R-3m (No. 166, hexagonal axes)
Symmetry-distinct sites (fractional):
1 Ir 0.0000 0.0000 0.2494 (multiplicity 6)  3 Os 2.72, 6 Ir 2.73, 3 W 2.75
2 Os 0.0000 0.0000 0.5000 (multiplicity 3)  6 Ir 2.72, 6 Os 2.73
3 W 0.0000 0.0000 0.0000 (multiplicity 3)  6 W 2.73, 6 Ir 2.75

[10]
## Ir2OsW (SCAN)

Data for Ir2OsW at its PBEsol-relaxed geometry.

Summary:
The formation energy comes out at -1.11 eV per formula unit. The value obtained for the density of states at the Fermi level is 1.908 states/eV/f.u. The total magnetization is 0.00 μB per cell.

a = 2.7391 Å, b = 4.3687 Å, c = 4.7893 Å
α = 90.00°, β = 90.00°, γ = 90.00°
Closest atoms and distances in Å follow each position.
Space group Pmm2 (No. 25)
Symmetry-distinct sites (fractional):
1 Ir 0.0000 0.0000 0.0000 (multiplicity 1)  4 Os 2.69, 4 Ir 2.71-2.74, 4 W 2.71-2.80
2 Ir 0.0000 0.5000 0.3335 (multiplicity 1)  4 Ir 2.71-2.74, 4 W 2.71, 4 Os 2.73-2.79
3 Os 0.5000 0.5000 0.8415 (multiplicity 1)  8 Ir 2.69-2.79, 2 W 2.70, 2 Os 2.74
4 W 0.5000 0.0000 0.5107 (multiplicity 1)  2 Os 2.70, 8 Ir 2.71-2.80, 2 W 2.74

[11]
## IrOsW (SCAN)

Data for IrOsW at its PBEsol-relaxed geometry.

Summary:
The formation energy comes out at 0.46 eV per formula unit. The value obtained for the density of states at the Fermi level is 2.337 states/eV/f.u. The total magnetization is 0.00 μB per cell.

a = 4.3508 Å, b = 4.3508 Å, c = 2.7212 Å
α = 90.00°, β = 90.00°, γ = 120.00°
Closest atoms and distances in Å follow each position.
Space group P-6m2 (No. 187)
Symmetry-distinct sites (fractional):
1 Ir 0.0000 0.0000 0.0000 (multiplicity 1)  2 Ir 2.72, 6 W 2.86, 6 Os 2.86
2 Os 0.6667 0.3333 0.5000 (multiplicity 1)  3 W 2.51, 2 Os 2.72
3 W 0.3333 0.6667 0.5000 (multiplicity 1)  3 Os 2.51, 2 W 2.72

[12]
## Ir2OsW (SCAN)

Data for Ir2OsW at its PBEsol-relaxed geometry.

Summary:
The formation energy comes out at -0.33 eV per formula unit. The value obtained for the density of states at the Fermi level is 3.461 states/eV/f.u. The total magnetization is 0.00 μB per cell.

a = 9.0806 Å, b = 2.7324 Å, c = 4.7109 Å
α = 90.00°, β = 100.17°, γ = 90.00°
Closest atoms and distances in Å follow each position.
Space group C2/m (No. 12)
Symmetry-distinct sites (fractional):
1 Ir 0.2493 0.0000 0.2468 (multiplicity 4)  6 Ir 2.70-2.75, 3 Os 2.72-2.73, 3 W 2.74
2 Os 0.0000 0.5000 0.0000 (multiplicity 2)  6 Ir 2.72-2.73, 4 W 2.72, 2 Os 2.73
3 W 0.0000 0.0000 0.5000 (multiplicity 2)  4 Os 2.72, 2 W 2.73, 6 Ir 2.74

[13]
## Ir2OsW (SCAN)

Data for Ir2OsW at its PBEsol-relaxed geometry.

Summary:
The formation energy comes out at 1.00 eV per formula unit. The value obtained for the density of states at the Fermi level is 3.212 states/eV/f.u. The total magnetization is 0.81 μB per cell.

a = 3.3121 Å, b = 3.3121 Å, c = 5.4047 Å
α = 90.00°, β = 90.00°, γ = 90.00°
Closest atoms and distances in Å follow each position.
Space group P4/mmm (No. 123)
Symmetry-distinct sites (fractional):
1 Ir 0.0000 0.0000 0.2462 (multiplicity 2)  2 Ir 2.66-2.74, 4 Os 2.69, 4 W 2.71
2 Os 0.5000 0.5000 0.0000 (multiplicity 1)  8 Ir 2.69, 2 W 2.70
3 W 0.5000 0.5000 0.5000 (multiplicity 1)  2 Os 2.70, 8 Ir 2.71

[14]
## Ir2OsW (SCAN)

Data for Ir2OsW at its PBEsol-relaxed geometry.

Summary:
The formation energy comes out at -1.16 eV per formula unit. The value obtained for the density of states at the Fermi level is 1.219 states/eV/f.u. The total magnetization is 0.00 μB per cell.

a = 3.8337 Å, b = 3.8337 Å, c = 3.8964 Å
α = 90.00°, β = 90.00°, γ = 90.00°
Closest atoms and distances in Å follow each position.
Space group P4/mmm (No. 123)
Symmetry-distinct sites (fractional):
1 Ir 0.0000 0.5000 0.0000 (multiplicity 2)  4 Ir 2.71, 4 W 2.73, 4 Os 2.73
2 Os 0.0000 0.0000 0.5000 (multiplicity 1)  4 W 2.71, 8 Ir 2.73
3 W 0.5000 0.5000 0.5000 (multiplicity 1)  4 Os 2.71, 8 Ir 2.73

[15]
## Ir2OsW (SCAN)

Data for Ir2OsW at its PBEsol-relaxed geometry.

Summary:
The formation energy comes out at -0.95 eV per formula unit. The value obtained for the density of states at the Fermi level is 2.128 states/eV/f.u. The total magnetization is 0.00 μB per cell.

a = 3.8407 Å, b = 3.8407 Å, c = 7.7750 Å
α = 90.00°, β = 90.00°, γ = 90.00°
Closest atoms and distances in Å follow each position.
Space group I4/mmm (No. 139)
Symmetry-distinct sites (fractional):
1 Ir 0.0000 0.5000 0.2500 (multiplicity 4)  4 Ir 2.72, 4 W 2.73, 4 Os 2.73
2 Os 0.0000 0.0000 0.0000 (multiplicity 2)  4 W 2.72, 8 Ir 2.73
3 W 0.0000 0.0000 0.5000 (multiplicity 2)  4 Os 2.72, 8 Ir 2.73

[16]
## YIrOs2 (SCAN)

Data for YIrOs2 at its PBEsol-relaxed geometry.

Summary:
The formation energy comes out at 2.05 eV per formula unit. The value obtained for the density of states at the Fermi level is 3.972 states/eV/f.u. The total magnetization is 0.00 μB per cell.

a = 2.7607 Å, b = 2.7607 Å, c = 28.9361 Å
α = 90.00°, β = 90.00°, γ = 120.00°
Closest atoms and distances in Å follow each position.
Space group R-3m (No. 166, hexagonal axes)
Symmetry-distinct sites (fractional):
1 Y 0.0000 0.0000 0.0000 (multiplicity 3)  6 Y 2.76
2 Ir 0.0000 0.0000 0.5000 (multiplicity 3)  6 Os 2.69, 6 Ir 2.76
3 Os 0.0000 0.0000 0.2416 (multiplicity 6)  3 Ir 2.69, 6 Os 2.76